[1]
Material: Li3SnN
Method: DFT, PBEsol
State: optimized geometry

Unit cell a=5.276 b=5.276 c=5.276 alpha=90.00 beta=90.00 gamma=90.00
Space group Pm-3m (No. 221)
Inequivalent atoms, fractional coordinates:
Li  0.000  0.000  0.500
Sn  0.000  0.000  0.000
N  0.500  0.500  0.500

## Properties
The density is 1.74 Mg/m³. The value obtained for the final energy is -0.09762 hartree per atom. The calculation puts the formation energy from raw total energies at 1.081 eV/atom. The calculation puts the energy above the lowest structure with this stoichiometry at 1225.0 meV per atom.

---

[2]
Material: Li3SnN
Method: DFT, PBEsol
State: optimized geometry

Unit cell a=4.052 b=4.052 c=4.052 alpha=90.00 beta=90.00 gamma=90.00
Space group Pm-3m (No. 221)
Inequivalent atoms, fractional coordinates:
Li  0.000  0.000  0.500
Sn  0.500  0.500  0.500
N  0.000  0.000  0.000

## Properties
The density is 3.83 Mg/m³. The value obtained for the final energy is -0.14264 hartree per atom. The calculation puts the formation energy from raw total energies at -0.144 eV/atom. The calculation puts the energy above the lowest structure with this stoichiometry at 0.0 meV per atom.

---

[3]
Material: SrLiN2
Method: DFT, PBEsol
State: optimized geometry

Unit cell a=3.7771 b=3.7771 c=12.8012 alpha=90.00 beta=90.00 gamma=120.00
Space group R-3m (No. 166, hexagonal axes)
Inequivalent atoms, fractional coordinates:
Sr  0.0000  0.0000  0.0000
Li  0.0000  0.0000  0.5000
N  0.0000  0.0000  0.2220

## Properties
The density is 3.86 Mg/m³. The value obtained for the final energy is -0.17886 hartree per atom. The calculation puts the formation energy from raw total energies at 0.348 eV/atom. The calculation puts the energy above the lowest structure with this stoichiometry at 265.2 meV per atom.

---

[4]
Material: SrLi3N
Method: DFT, PBEsol
State: optimized geometry

Unit cell a=6.546 b=6.546 c=6.546 alpha=90.00 beta=90.00 gamma=90.00
Space group Pm-3m (No. 221)
Inequivalent atoms, fractional coordinates:
Sr  0.000  0.000  0.000
Li  0.000  0.000  0.500
N  0.500  0.500  0.500

## Properties
The density is 0.72 Mg/m³. The value obtained for the final energy is -0.05282 hartree per atom. The calculation puts the formation energy from raw total energies at 1.816 eV/atom.

---

[5]
Material: SrLiN2
Method: DFT, PBEsol
State: optimized geometry

Unit cell a=3.938 b=3.938 c=12.849 alpha=90.00 beta=90.00 gamma=90.00
Space group I4_1/amd (No. 141, origin choice 2)
Inequivalent atoms, fractional coordinates:
Sr  0.000  0.250  0.375
Li  0.000  0.250  0.875
N  0.000  0.000  0.000

## Properties
The density is 4.09 Mg/m³. The value obtained for the final energy is -0.18860 hartree per atom. The calculation puts the formation energy from raw total energies at 0.083 eV/atom. The calculation puts the energy above the lowest structure with this stoichiometry at 0.0 meV per atom.

---

[6]
Material: SrLi2N2
Method: DFT, PBEsol
State: optimized geometry

Unit cell a=3.588 b=3.588 c=8.118 alpha=90.00 beta=90.00 gamma=90.00
Space group I4/mmm (No. 139)
Inequivalent atoms, fractional coordinates:
Sr  0.000  0.000  0.000
Li  0.000  0.500  0.250
N  0.000  0.000  0.399

## Properties
The density is 4.12 Mg/m³. The value obtained for the final energy is -0.17990 hartree per atom. The calculation puts the formation energy from raw total energies at -0.330 eV/atom.

---

[7]
Material: LiTaN2
Method: DFT, PBEsol
State: optimized geometry

Unit cell a=4.156 b=18.339 c=4.158 alpha=90.00 beta=90.00 gamma=90.00
Space group P2_1/c (No. 14)
Inequivalent atoms, fractional coordinates:
Li  0.000  0.062  0.249
Li  0.498  0.687  0.252
Ta  0.004  0.188  0.739
Ta  0.492  0.562  0.747
N  0.000  0.073  0.747
N  0.001  0.198  0.249
N  0.498  0.052  0.249
N  0.499  0.677  0.750

## Properties
The density is 9.05 Mg/m³. The value obtained for the final energy is -0.33458 hartree per atom. The calculation puts the formation energy from raw total energies at -1.212 eV/atom. The calculation puts the energy above the lowest structure with this stoichiometry at 0.0 meV per atom.

---

[8]
Material: Li2Ta3N5
Method: DFT, PBEsol
State: optimized geometry

Unit cell a=9.756 b=4.189 c=9.594 alpha=90.00 beta=90.84 gamma=90.00
Space group C2/m (No. 12)
Inequivalent atoms, fractional coordinates:
Li  0.044  0.000  0.347
Li  0.147  0.000  0.048
Ta  0.054  0.500  0.856
Ta  0.144  0.500  0.548
Ta  0.238  0.500  0.245
N  0.046  0.500  0.347
N  0.067  0.000  0.844
N  0.140  0.500  0.053
N  0.153  0.000  0.549
N  0.249  0.000  0.249

## Properties
The density is 10.62 Mg/m³. The value obtained for the final energy is -0.35640 hartree per atom. The calculation puts the formation energy from raw total energies at -1.276 eV/atom.

---

[9]
Material: LiTaN2
Method: DFT, PBEsol
State: optimized geometry

Unit cell a=4.774 b=4.774 c=9.095 alpha=90.00 beta=90.00 gamma=90.00
Space group I-42d (No. 122)
Inequivalent atoms, fractional coordinates:
Li  0.000  0.000  0.000
Ta  0.000  0.000  0.500
N  0.214  0.250  0.625

## Properties
The density is 6.92 Mg/m³. The value obtained for the final energy is -0.32886 hartree per atom. The calculation puts the formation energy from raw total energies at -1.056 eV/atom. The calculation puts the energy above the lowest structure with this stoichiometry at 155.8 meV per atom.

---

[10]
Material: LiTcN2
Method: DFT, PBEsol
State: optimized geometry

Unit cell a=4.582 b=4.582 c=9.053 alpha=90.00 beta=90.00 gamma=90.00
Space group I-42d (No. 122)
Inequivalent atoms, fractional coordinates:
Li  0.000  0.000  0.000
Tc  0.000  0.000  0.500
N  0.204  0.250  0.625

## Properties
The density is 4.65 Mg/m³. The value obtained for the final energy is -0.29095 hartree per atom. The calculation puts the formation energy from raw total energies at -0.345 eV/atom.

---

[11]
Material: Li2TcN2
Method: DFT, PBEsol
State: optimized geometry

Unit cell a=5.391 b=5.391 c=3.033 alpha=90.00 beta=90.00 gamma=90.00
Space group P4/mbm (No. 127)
Inequivalent atoms, fractional coordinates:
Li  0.136  0.364  0.000
Tc  0.000  0.000  0.500
N  0.185  0.685  0.500

## Properties
The density is 5.27 Mg/m³. The value obtained for the final energy is -0.25060 hartree per atom. The calculation puts the formation energy from raw total energies at -0.368 eV/atom.

---

[12]
Material: LiTcN3
Method: DFT, PBEsol
State: optimized geometry

Unit cell a=3.831 b=3.831 c=3.831 alpha=90.00 beta=90.00 gamma=90.00
Space group Pm-3m (No. 221)
Inequivalent atoms, fractional coordinates:
Li  0.000  0.000  0.000
Tc  0.500  0.500  0.500
N  0.000  0.500  0.500

## Properties
The density is 4.34 Mg/m³. The value obtained for the final energy is -0.27308 hartree per atom. The calculation puts the formation energy from raw total energies at 0.332 eV/atom.

---

[13]
Material: LiTe2N2
Method: DFT, PBEsol
State: optimized geometry

Unit cell a=4.755 b=4.755 c=3.318 alpha=90.00 beta=90.00 gamma=90.00
Space group P4/mmm (No. 123)
Inequivalent atoms, fractional coordinates:
Li  0.000  0.000  0.000
Te  0.000  0.500  0.000
N  0.000  0.000  0.500
N  0.500  0.500  0.500

## Properties
The density is 6.42 Mg/m³. The value obtained for the final energy is -0.13486 hartree per atom. The calculation puts the formation energy from raw total energies at 1.545 eV/atom.